Compound: Gd2HgS
Source: Alexandria
Functional: PBE-GGA
Structure: relaxed

Lattice parameters (Å, degrees): 7.9511 7.9511 7.9511 28.66 28.66 28.66
Atoms (fractional coordinates):
Gd1 0.2374 0.2374 0.2374
Gd2 0.7626 0.7626 0.7626
Hg1 0.0000 0.0000 0.0000
S1 0.5000 0.5000 0.5000

Values from the calculation:
- E_tot (eV per atom) = -9.35
- formation energy (no corrections) (eV per atom) = -1.206
- density (g/cm³) = 8.9

Compound: GdHgSb
Source: Alexandria
Functional: PBE-GGA
Structure: relaxed

Lattice parameters (Å, degrees): 5.5668 5.5668 5.5668 135.83 135.83 64.24
Atoms (fractional coordinates):
Gd1 0.0000 0.0000 0.0000
Hg1 0.3236 0.3236 0.0000
Sb1 0.6483 0.6483 0.0000

Values from the calculation:
- E_tot (eV per atom) = -6.70
- formation energy (no corrections) (eV per atom) = -0.532
- density (g/cm³) = 9.6
- polymorph energy (0 for the lowest one) (meV/atom) = 60.0

Compound: GdHg2Sb
Source: Alexandria
Functional: PBE-GGA
Structure: relaxed

Lattice parameters (Å, degrees): 11.6786 11.6786 11.6786 16.82 16.82 16.82
Atoms (fractional coordinates):
Gd1 0.0000 0.0000 0.0000
Hg1 0.0884 0.0884 0.0884
Hg2 0.9116 0.9116 0.9116
Sb1 0.5000 0.5000 0.5000

Values from the calculation:
- E_tot (eV per atom) = -4.56
- formation energy (no corrections) (eV per atom) = 0.145
- density (g/cm³) = 9.7

Compound: GdHgSb
Source: Alexandria
Functional: PBE-GGA
Structure: relaxed

Lattice parameters (Å, degrees): 4.6620 4.6620 4.4901 90.00 90.00 120.00
Atoms (fractional coordinates):
Gd1 0.0000 0.0000 0.0000
Hg1 0.6667 0.3333 0.3164
Sb1 0.3333 0.6667 0.6095

Values from the calculation:
- E_tot (eV per atom) = -6.76
- formation energy (no corrections) (eV per atom) = -0.592
- density (g/cm³) = 9.4
- polymorph energy (0 for the lowest one) (meV/atom) = 0.0

Compound: GdHgSb
Source: Alexandria
Functional: PBE-GGA
Structure: relaxed

Lattice parameters (Å, degrees): 5.1398 5.1398 5.1398 60.00 60.00 60.00
Atoms (fractional coordinates):
Gd1 0.0000 0.0000 0.0000
Hg1 0.7500 0.7500 0.7500
Sb1 0.2500 0.2500 0.2500

Values from the calculation:
- E_tot (eV per atom) = -6.71
- formation energy (no corrections) (eV per atom) = -0.541
- density (g/cm³) = 8.3
- polymorph energy (0 for the lowest one) (meV/atom) = 51.3

Compound: GdHgSb2
Source: Alexandria
Functional: PBE-GGA
Structure: relaxed

Lattice parameters (Å, degrees): 4.9144 4.9144 4.3153 90.00 90.00 90.00
Atoms (fractional coordinates):
Gd1 0.0000 0.0000 0.0000
Hg1 0.5000 0.5000 0.0000
Sb1 0.0000 0.5000 0.5000
Sb2 0.5000 0.0000 0.5000

Values from the calculation:
- E_tot (eV per atom) = -6.15
- formation energy (no corrections) (eV per atom) = -0.493
- density (g/cm³) = 9.6
- polymorph energy (0 for the lowest one) (meV/atom) = 0.0